Record 1
## Li2GaPt2 (GGA-PBE)

Data for an optimized crystal structure of Li2GaPt2.

Its energy above the most stable polymorph in this dataset is 63 meV/atom. The value obtained for the energy of formation is -0.53 eV per atom. The crystal system is monoclinic.

The structure belongs to space group C2/m (No. 12); the cell edges are 7.4940, 4.3869 and 5.2055 Å and the angles 90.00°, 90.78° and 90.00°. The asymmetric unit holds Li at (0.1701, 0.0000, 0.3786), Ga at (0.0000, 0.5000, 0.0000) and Pt at (0.1661, 0.0000, 0.8842).

Record 2
## PmHfGaCu (GGA-PBE)

Data for an optimized crystal structure of PmHfGaCu.

The value obtained for the energy of formation is -0.20 eV per atom. The crystal system is cubic.

The structure belongs to space group F-43m (No. 216); the cell edges are 6.9112, 6.9112 and 6.9112 Å and the angles 90.00°, 90.00° and 90.00°. The asymmetric unit holds Pm at (0.0000, 0.0000, 0.0000), Hf at (0.0000, 0.0000, 0.5000), Ga at (0.2500, 0.2500, 0.7500) and Cu at (0.2500, 0.2500, 0.2500).

Record 3
## Ba2CuTeRh (GGA-PBE)

Data for an optimized crystal structure of Ba2CuTeRh.

Its energy above the most stable polymorph in this dataset is 413 meV/atom. The crystal system is tetragonal. Its uncorrected formation energy is -0.068 eV/atom.

The structure belongs to space group P4/mmm (No. 123); the cell edges are 6.5483, 6.5483 and 4.8771 Å and the angles 90.00°, 90.00° and 90.00°. The asymmetric unit holds Ba at (0.0000, 0.5000, 0.0000), Cu at (0.0000, 0.0000, 0.5000), Te at (0.5000, 0.5000, 0.0000) and Rh at (0.5000, 0.5000, 0.5000).

Record 4
## BaMg4Zn4 (GGA-PBE)

Data for an optimized crystal structure of BaMg4Zn4.

The value obtained for the energy of formation is -0.12 eV per atom. The crystal system is tetragonal.

The structure belongs to space group P4_2/nmc (No. 137, origin choice 2); the cell edges are 6.7037, 6.7037 and 9.3803 Å and the angles 90.00°, 90.00° and 90.00°. The asymmetric unit holds Ba at (0.2500, 0.7500, 0.2500), Mg at (0.0019, 0.2500, 0.1328) and Zn at (0.0639, 0.2500, 0.4269).

Record 5
## Dy4Bi2AsSe (GGA-PBE)

Data for an optimized crystal structure of Dy4Bi2AsSe.

The crystal system is monoclinic. Its uncorrected formation energy is -1.247 eV/atom.

The structure belongs to space group P2/m (No. 10); the cell edges are 7.3935, 4.2718 and 7.4688 Å and the angles 90.00°, 109.21° and 90.00°. The asymmetric unit holds Dy at (0.2380, 0.0000, 0.2279), Dy at (0.2513, 0.5000, 0.7691), Bi at (0.0000, 0.0000, 0.5000), Bi at (0.5000, 0.5000, 0.5000), As at (0.0000, 0.5000, 0.0000) and Se at (0.5000, 0.0000, 0.0000).

Record 6
## LiZr3Bi (GGA-PBE)

Data for an optimized crystal structure of LiZr3Bi.

Its energy above the most stable polymorph in this dataset is 647 meV/atom. The value obtained for the energy of formation is 1.04 eV per atom. The crystal system is cubic.

The structure belongs to space group Pm-3m (No. 221); the cell edges are 5.4768, 5.4768 and 5.4768 Å and the angles 90.00°, 90.00° and 90.00°. The asymmetric unit holds Li at (0.0000, 0.0000, 0.0000), Zr at (0.0000, 0.5000, 0.5000) and Bi at (0.5000, 0.5000, 0.5000).

Record 7
## Sr2LaSe2 (GGA-PBE)

Data for an optimized crystal structure of Sr2LaSe2.

The crystal system is tetragonal. Its uncorrected formation energy is -1.389 eV/atom.

The structure belongs to space group P4/mbm (No. 127); the cell edges are 8.3723, 8.3723 and 4.3241 Å and the angles 90.00°, 90.00° and 90.00°. The asymmetric unit holds Sr at (0.1549, 0.3451, 0.0000), La at (0.0000, 0.0000, 0.5000) and Se at (0.1559, 0.6559, 0.5000).

Record 8
## Pm3Tl2Rh2 (GGA-PBE)

Data for an optimized crystal structure of Pm3Tl2Rh2.

The value obtained for the energy of formation is -0.55 eV per atom. The crystal system is orthorhombic.

The structure belongs to space group Cmmm (No. 65); the cell edges are 3.9485, 23.1395 and 3.9037 Å and the angles 90.00°, 90.00° and 90.00°. The asymmetric unit holds Pm at (0.0000, 0.0000, 0.0000), Pm at (0.0000, 0.1759, 0.0000), Tl at (0.0000, 0.4138, 0.5000) and Rh at (0.0000, 0.2885, 0.5000).

| no. | electronic total energy (hartree per atom) |
| --- | --- |
| 1 | -0.1585 |
| 2 | -0.2077 |
| 3 | -0.1380 |
| 4 | -0.0590 |
| 5 | -0.2034 |
| 6 | -0.1929 |
| 7 | -0.1632 |
| 8 | -0.1969 |